[1]
! MgZr2Be SCAN single point on PBEsol structure; values from VASP
! - DFT formation energy (meV per atom) = 103
&SYSTEM
  ibrav = 0, nat = 4, ntyp = 3
/
ATOMIC_SPECIES
Be 9.01 Be.upf
Zr 91.22 Zr.upf
Mg 24.30 Mg.upf
ATOMIC_POSITIONS crystal
Be 0.4932 0.4932 0.9864
Zr 0.2224 0.7224 0.4449
Mg 0.7863 0.2863 0.5727
Zr 0.9980 0.9980 0.9961
CELL_PARAMETERS angstrom
-2.2984 1.0154 -1.8474
-0.4394 -4.4958 -1.9243
-1.8392 0.6111 5.2565

---

[2]
! MgZr2Be2 SCAN single point on PBEsol structure; values from VASP
! - DFT formation energy (meV per atom) = -72
&SYSTEM
  ibrav = 0, nat = 10, ntyp = 3
/
ATOMIC_SPECIES
Be 9.01 Be.upf
Mg 24.30 Mg.upf
Zr 91.22 Zr.upf
ATOMIC_POSITIONS crystal
Be 0.0000 0.6183 0.1183
Be 0.0000 0.3817 0.8817
Mg 0.0000 0.5000 0.5000
Zr 0.5000 0.8310 0.3310
Zr 0.5000 0.1690 0.6690
Mg 0.0000 0.0000 0.0000
Zr 0.5000 0.3310 0.1690
Be 0.0000 0.1183 0.3817
Zr 0.5000 0.6690 0.8310
Be 0.0000 0.8817 0.6183
CELL_PARAMETERS angstrom
3.7624 0.0000 0.0000
0.0000 6.6334 0.0000
0.0000 0.0000 6.6334

---

[3]
! MnBe2 SCAN single point on PBEsol structure; values from VASP
! - DFT formation energy (meV per atom) = 24
&SYSTEM
  ibrav = 0, nat = 6, ntyp = 2
/
ATOMIC_SPECIES
Be 9.01 Be.upf
Mn 54.94 Mn.upf
ATOMIC_POSITIONS crystal
Be 0.3341 0.6683 0.6744
Be 0.0062 0.0125 0.0013
Be 0.6670 0.3340 0.3387
Mn 0.9435 0.8871 0.3937
Mn 0.2740 0.5480 0.0422
Be 0.6084 0.2169 0.7164
CELL_PARAMETERS angstrom
-1.4578 -0.2137 -1.7349
-2.5161 -0.2534 3.6385
0.2972 5.5057 -0.9281

---

[4]
! MnBe2 SCAN single point on PBEsol structure; values from VASP
! - DFT formation energy (meV per atom) = 21
&SYSTEM
  ibrav = 0, nat = 6, ntyp = 2
/
ATOMIC_SPECIES
Be 9.01 Be.upf
Mn 54.94 Mn.upf
ATOMIC_POSITIONS crystal
Be 0.1507 0.3014 0.5273
Mn 0.8375 0.6751 0.8738
Mn 0.1625 0.3249 0.1262
Be 0.8493 0.6986 0.4727
Be 0.5424 0.0849 0.7584
Be 0.4576 0.9151 0.2416
CELL_PARAMETERS angstrom
2.2595 0.0000 0.0000
-1.1298 4.1347 -0.0035
0.0000 -2.0440 5.4897

---

[5]
! Mn3Be SCAN single point on PBEsol structure; values from VASP
! - DFT formation energy (meV per atom) = -128
&SYSTEM
  ibrav = 0, nat = 4, ntyp = 2
/
ATOMIC_SPECIES
Mn 54.94 Mn.upf
Be 9.01 Be.upf
ATOMIC_POSITIONS crystal
Mn 0.0000 0.0000 0.5000
Mn 0.5000 0.5000 0.2332
Be 0.0000 0.0000 0.0000
Mn 0.5000 0.5000 0.7668
CELL_PARAMETERS angstrom
2.7042 0.0000 0.0000
0.0000 2.7042 0.0000
0.0000 0.0000 5.3027

---

[6]
! Mn5Be24 SCAN single point on PBEsol structure; values from VASP
! - DFT formation energy (meV per atom) = -149
&SYSTEM
  ibrav = 0, nat = 29, ntyp = 2
/
ATOMIC_SPECIES
Mn 54.94 Mn.upf
Be 9.01 Be.upf
ATOMIC_POSITIONS crystal
Mn 0.0000 0.6279 0.0000
Mn 0.6279 0.0000 0.0000
Be 0.3138 0.3138 0.7036
Be 0.3709 0.0000 0.1880
Be 0.3898 0.6862 0.0000
Be 0.1880 0.0000 0.3709
Be 0.0000 0.6862 0.3898
Be 0.3138 0.7036 0.3138
Be 0.2964 0.6102 0.6102
Be 0.6102 0.6102 0.2964
Be 0.1829 0.8120 0.8120
Be 0.6862 0.3898 0.0000
Be 0.6102 0.2964 0.6102
Be 0.0000 0.3709 0.1880
Be 0.8120 0.8120 0.1829
Be 0.1880 0.3709 0.0000
Mn 0.3721 0.3721 0.3721
Be 0.3898 0.0000 0.6862
Be 0.6291 0.6291 0.8171
Be 0.8120 0.1829 0.8120
Be 0.0000 0.1880 0.3709
Be 0.0000 0.3898 0.6862
Be 0.7036 0.3138 0.3138
Be 0.3709 0.1880 0.0000
Mn 0.0000 0.0000 0.6279
Mn 0.0000 0.0000 0.0000
Be 0.6291 0.8171 0.6291
Be 0.8171 0.6291 0.6291
Be 0.6862 0.0000 0.3898
CELL_PARAMETERS angstrom
-4.0259 1.0382 -5.3200
6.2213 -1.5089 -2.1461
-2.4131 -5.1181 3.6837

---

[7]
! Mn2Be3 SCAN single point on PBEsol structure; values from VASP
! - DFT formation energy (meV per atom) = 109
&SYSTEM
  ibrav = 0, nat = 5, ntyp = 2
/
ATOMIC_SPECIES
Mn 54.94 Mn.upf
Be 9.01 Be.upf
ATOMIC_POSITIONS crystal
Mn 0.4006 0.4006 0.7981
Be 0.0000 0.0000 0.0000
Be 0.8002 0.8002 0.5993
Mn 0.5994 0.5994 0.2019
Be 0.1998 0.1998 0.4007
CELL_PARAMETERS angstrom
2.3684 0.0000 0.0000
1.1842 2.0511 0.0000
1.1842 0.6837 9.4795

---

[8]
! Mn3Be SCAN single point on PBEsol structure; values from VASP
! - DFT formation energy (meV per atom) = -57
&SYSTEM
  ibrav = 0, nat = 4, ntyp = 2
/
ATOMIC_SPECIES
Mn 54.94 Mn.upf
Be 9.01 Be.upf
ATOMIC_POSITIONS crystal
Mn 0.2476 0.7476 0.4951
Mn 0.5000 0.5000 0.0000
Be 0.0000 0.0000 0.0000
Mn 0.7524 0.2524 0.5049
CELL_PARAMETERS angstrom
2.7236 0.0000 0.0000
0.0000 3.7629 0.0000
-1.3618 -1.8814 3.7684

---

| no. | spin magnetization (Bohr magnetons per cell) | total energy (eV per atom) |
| --- | --- | --- |
| 1 | 0.000 | -17.58 |
| 2 | 0.000 | -15.09 |
| 3 | 0.001 | -8.96 |
| 4 | 0.004 | -8.97 |
| 5 | 0.689 | -14.91 |
| 6 | 9.908 | -6.90 |
| 7 | 2.010 | -9.81 |
| 8 | 0.316 | -14.84 |